Record 1
Density functional theory data (GGA-PBE) for a relaxed structure of Y3HgTe2.

a = 14.259 Å, b = 13.599 Å, c = 7.586 Å
α = 79.06°, β = 69.45°, γ = 31.49°
Atoms (fractional coordinates):
Y  0.041  0.540  0.202
Y  0.118  0.632  0.632
Y  0.202  0.717  0.041
Y  0.283  0.798  0.460
Y  0.368  0.882  0.882
Y  0.460  0.959  0.283
Y  0.540  0.041  0.717
Y  0.632  0.118  0.118
Y  0.717  0.202  0.540
Y  0.798  0.283  0.959
Y  0.882  0.368  0.368
Y  0.959  0.460  0.798
Hg  0.042  0.042  0.208
Hg  0.208  0.208  0.042
Hg  0.792  0.792  0.958
Hg  0.958  0.958  0.792
Te  0.127  0.127  0.623
Te  0.294  0.294  0.456
Te  0.377  0.377  0.873
Te  0.456  0.456  0.294
Te  0.544  0.544  0.706
Te  0.623  0.623  0.127
Te  0.706  0.706  0.544
Te  0.873  0.873  0.377

Summary:
Electronic total energy = -128.907 eV/cell
ΔE to the lowest computed polymorph = 12 meV/atom


Record 2
Density functional theory data (GGA-PBE) for a relaxed structure of YHg2Te.

a = 6.110 Å, b = 6.361 Å, c = 5.847 Å
α = 90.00°, β = 90.00°, γ = 90.00°
Atoms (fractional coordinates):
Y  0.000  0.000  0.000
Y  0.500  0.500  0.000
Hg  0.000  0.246  0.500
Hg  0.000  0.754  0.500
Hg  0.500  0.254  0.500
Hg  0.500  0.746  0.500
Te  0.000  0.500  0.000
Te  0.500  0.000  0.000

Summary:
Electronic total energy = -24.441 eV/cell


Record 3
Density functional theory data (GGA-PBE) for a relaxed structure of YHg2Te.

a = 3.986 Å, b = 3.986 Å, c = 6.867 Å
α = 90.00°, β = 90.00°, γ = 90.00°
Atoms (fractional coordinates):
Y  0.000  0.000  0.000
Hg  0.000  0.000  0.495
Hg  0.500  0.500  0.277
Te  0.500  0.500  0.803

Summary:
Electronic total energy = -12.488 eV/cell


Record 4
Density functional theory data (GGA-PBE) for a relaxed structure of Y2HgTe.

a = 8.156 Å, b = 8.156 Å, c = 7.126 Å
α = 90.00°, β = 90.00°, γ = 90.00°
Atoms (fractional coordinates):
Y  0.247  0.750  0.125
Y  0.250  0.247  0.875
Y  0.250  0.253  0.375
Y  0.253  0.750  0.625
Y  0.747  0.250  0.625
Y  0.750  0.747  0.375
Y  0.750  0.753  0.875
Y  0.753  0.250  0.125
Hg  0.000  0.000  0.000
Hg  0.000  0.500  0.250
Hg  0.500  0.000  0.750
Hg  0.500  0.500  0.500
Te  0.000  0.000  0.500
Te  0.000  0.500  0.750
Te  0.500  0.000  0.250
Te  0.500  0.500  0.000

Summary:
Electronic total energy = -75.118 eV/cell
ΔE to the lowest computed polymorph = 323 meV/atom


Record 5
Density functional theory data (GGA-PBE) for a relaxed structure of YHgTe.

a = 4.230 Å, b = 4.230 Å, c = 6.333 Å
α = 90.00°, β = 90.00°, γ = 120.00°
Atoms (fractional coordinates):
Y  0.000  0.000  0.000
Hg  0.667  0.333  0.316
Te  0.333  0.667  0.724

Summary:
Electronic total energy = -11.796 eV/cell
ΔE to the lowest computed polymorph = 177 meV/atom


Record 6
Density functional theory data (GGA-PBE) for a relaxed structure of YHg2Te.

a = 5.869 Å, b = 5.914 Å, c = 6.198 Å
α = 90.00°, β = 90.00°, γ = 90.00°
Atoms (fractional coordinates):
Y  0.000  0.000  0.000
Y  0.500  0.500  0.000
Hg  0.000  0.500  0.247
Hg  0.000  0.500  0.753
Hg  0.500  0.000  0.247
Hg  0.500  0.000  0.753
Te  0.000  0.000  0.500
Te  0.500  0.500  0.500

Summary:
Electronic total energy = -23.222 eV/cell


Record 7
Density functional theory data (GGA-PBE) for a relaxed structure of YHg3Te.

a = 5.597 Å, b = 5.597 Å, c = 5.597 Å
α = 90.00°, β = 90.00°, γ = 90.00°
Atoms (fractional coordinates):
Y  0.000  0.000  0.000
Hg  0.000  0.500  0.500
Hg  0.500  0.000  0.500
Hg  0.500  0.500  0.000
Te  0.500  0.500  0.500

Summary:
Electronic total energy = -8.172 eV/cell
ΔE to the lowest computed polymorph = 139 meV/atom


Record 8
Density functional theory data (GGA-PBE) for a relaxed structure of YHgTe2.

a = 4.418 Å, b = 28.655 Å, c = 4.468 Å
α = 90.00°, β = 90.00°, γ = 90.00°
Atoms (fractional coordinates):
Y  0.000  0.052  0.250
Y  0.000  0.948  0.750
Y  0.500  0.448  0.750
Y  0.500  0.552  0.250
Hg  0.000  0.461  0.250
Hg  0.000  0.539  0.750
Hg  0.500  0.039  0.750
Hg  0.500  0.961  0.250
Te  0.000  0.256  0.250
Te  0.000  0.380  0.750
Te  0.000  0.620  0.250
Te  0.000  0.744  0.750
Te  0.500  0.120  0.250
Te  0.500  0.244  0.750
Te  0.500  0.756  0.250
Te  0.500  0.880  0.750

Summary:
Electronic total energy = -58.601 eV/cell
ΔE to the lowest computed polymorph = 498 meV/atom


Per-record magnetic moment, μB per formula unit: 0.00 0.00 0.00 0.04 0.00 0.00 0.00 0.00
Per-record uncorrected formation energy, meV per atom: -1042 -503 -570 -602 -629 -350 468 -400
Per-record calculated volume, Å³/cell: 701.2 227.3 109.1 474.0 98.1 215.2 175.3 565.6